Entry 1:
{
  "formula": "LiTlCdIn2",
  "functional": "SCAN",
  "state": "single point on PBEsol structure",
  "lattice": [[5.028, 0.000, 0.000], [0.000, 5.028, 0.000], [0.000, 0.000, 5.020]],
  "species": ["Li", "Tl", "Cd", "In", "In"],
  "frac_coords": [[0.000, 0.000, 0.000], [0.000, 0.000, 0.500], [0.500, 0.500, 0.500], [0.000, 0.500, 0.000], [0.500, 0.000, 0.000]],
  "ef_ev_per_atom": 0.159,
  "magnetic_moment_mub_per_fu": 0.00
}


Entry 2:
{
  "formula": "YB3Pt",
  "functional": "SCAN",
  "state": "single point on PBEsol structure",
  "lattice": [[4.300, 0.000, 0.000], [0.000, 4.300, 0.000], [0.000, 0.000, 4.300]],
  "species": ["Y", "B", "B", "B", "Pt"],
  "frac_coords": [[0.000, 0.000, 0.000], [0.000, 0.000, 0.500], [0.000, 0.500, 0.000], [0.500, 0.000, 0.000], [0.500, 0.500, 0.500]],
  "ef_ev_per_atom": 2.625,
  "magnetic_moment_mub_per_fu": 0.00
}